This record from Alexandria via LeMat-Bulk describes an optimized crystal structure of NbAg3Au. The functional is PBE-GGA.

The energy is -2.8153 eV per atom. As for the energy of formation from the pure elements: 1.56 eV/atom. Its energy above the most stable polymorph in this dataset is 363 meV/atom.

```
data_NbAg3Au
_space_group_name_H-M_alt 'P m -3 m'
_space_group_IT_number 221
_space_group_name_Hall '-P 4 2 3'
_cell_length_a 5.142
_cell_length_b 5.142
_cell_length_c 5.142
_cell_angle_alpha 90.00
_cell_angle_beta 90.00
_cell_angle_gamma 90.00
loop_
_atom_site_label
_atom_site_fract_x
_atom_site_fract_y
_atom_site_fract_z
_atom_site_occupancy
Nb1 0.000 0.000 0.000 1
Ag1 0.000 0.000 0.500 1
Au1 0.500 0.500 0.500 1
```